The following is a DFT calculation (SCAN) of a PBEsol-optimized structure of Na2NiSnI.

Output
The density of states at the Fermi level comes out at 0.29 states/eV per atom. The calculation puts the volume at 139 Å³ per cell. The mass density is 4.17 g/cm³. The raw formation energy is -0.167 eV/atom.

Geometry as CIF:
```
data_Na2NiSnI
_cell_length_a 5.427
_cell_length_b 5.427
_cell_length_c 4.736
_cell_angle_alpha 90.00
_cell_angle_beta 90.00
_cell_angle_gamma 90.00
_space_group_name_H-M_alt 'P 4/m m m'
_space_group_IT_number 123
_space_group_name_Hall '-P 4 2'
loop_
_atom_site_label
_atom_site_type_symbol
_atom_site_fract_x
_atom_site_fract_y
_atom_site_fract_z
_atom_site_occupancy
Na1 Na 0.000 0.500 0.000 1
Ni1 Ni 0.000 0.000 0.000 1
Sn1 Sn 0.000 0.000 0.500 1
I1 I 0.500 0.500 0.500 1
```



The following is a DFT calculation (SCAN) of a PBEsol-optimized structure of Na3IO.

Output
The density of states at the Fermi level comes out at 0.00 states/eV per atom. The calculation puts the volume at 638 Å³ per cell. The mass density is 3.31 g/cm³. The raw formation energy is -1.407 eV/atom.

Geometry as CIF:
```
data_Na3IO
_cell_length_a 6.7117
_cell_length_b 6.7117
_cell_length_c 16.3523
_cell_angle_alpha 90.00
_cell_angle_beta 90.00
_cell_angle_gamma 120.00
_space_group_name_H-M_alt 'P 63/m m c'
_space_group_IT_number 194
_space_group_name_Hall '-P 6c 2c'
loop_
_atom_site_label
_atom_site_type_symbol
_atom_site_fract_x
_atom_site_fract_y
_atom_site_fract_z
_atom_site_occupancy
Na1 Na 0.0552 0.5276 0.2500 1
Na2 Na 0.1657 0.3315 0.0793 1
I1 I 0.0000 0.0000 0.2500 1
I2 I 0.3333 0.6667 0.6003 1
O1 O 0.0000 0.0000 0.0000 1
O2 O 0.3333 0.6667 0.1498 1
```



What did the first record say?
The following is a DFT calculation (SCAN) of a PBEsol-optimized structure of Na2NiSnI.

Output
The density of states at the Fermi level comes out at 0.29 states/eV per atom. The calculation puts the volume at 139 Å³ per cell. The mass density is 4.17 g/cm³. The raw formation energy is -0.167 eV/atom.

Geometry as CIF:
```
data_Na2NiSnI
_cell_length_a 5.427
_cell_length_b 5.427
_cell_length_c 4.736
_cell_angle_alpha 90.00
_cell_angle_beta 90.00
_cell_angle_gamma 90.00
_space_group_name_H-M_alt 'P 4/m m m'
_space_group_IT_number 123
_space_group_name_Hall '-P 4 2'
loop_
_atom_site_label
_atom_site_type_symbol
_atom_site_fract_x
_atom_site_fract_y
_atom_site_fract_z
_atom_site_occupancy
Na1 Na 0.000 0.500 0.000 1
Ni1 Ni 0.000 0.000 0.000 1
Sn1 Sn 0.000 0.000 0.500 1
I1 I 0.500 0.500 0.500 1
```



Q: volume of number 2 (Na3IO)?
A: 638 Å³ per cell



Copy entry 2 word for word.
The following is a DFT calculation (SCAN) of a PBEsol-optimized structure of Na3IO.

Output
The density of states at the Fermi level comes out at 0.00 states/eV per atom. The calculation puts the volume at 638 Å³ per cell. The mass density is 3.31 g/cm³. The raw formation energy is -1.407 eV/atom.

Geometry as CIF:
```
data_Na3IO
_cell_length_a 6.7117
_cell_length_b 6.7117
_cell_length_c 16.3523
_cell_angle_alpha 90.00
_cell_angle_beta 90.00
_cell_angle_gamma 120.00
_space_group_name_H-M_alt 'P 63/m m c'
_space_group_IT_number 194
_space_group_name_Hall '-P 6c 2c'
loop_
_atom_site_label
_atom_site_type_symbol
_atom_site_fract_x
_atom_site_fract_y
_atom_site_fract_z
_atom_site_occupancy
Na1 Na 0.0552 0.5276 0.2500 1
Na2 Na 0.1657 0.3315 0.0793 1
I1 I 0.0000 0.0000 0.2500 1
I2 I 0.3333 0.6667 0.6003 1
O1 O 0.0000 0.0000 0.0000 1
O2 O 0.3333 0.6667 0.1498 1
```



Repeat the first record exactly.
The following is a DFT calculation (SCAN) of a PBEsol-optimized structure of Na2NiSnI.

Output
The density of states at the Fermi level comes out at 0.29 states/eV per atom. The calculation puts the volume at 139 Å³ per cell. The mass density is 4.17 g/cm³. The raw formation energy is -0.167 eV/atom.

Geometry as CIF:
```
data_Na2NiSnI
_cell_length_a 5.427
_cell_length_b 5.427
_cell_length_c 4.736
_cell_angle_alpha 90.00
_cell_angle_beta 90.00
_cell_angle_gamma 90.00
_space_group_name_H-M_alt 'P 4/m m m'
_space_group_IT_number 123
_space_group_name_Hall '-P 4 2'
loop_
_atom_site_label
_atom_site_type_symbol
_atom_site_fract_x
_atom_site_fract_y
_atom_site_fract_z
_atom_site_occupancy
Na1 Na 0.000 0.500 0.000 1
Ni1 Ni 0.000 0.000 0.000 1
Sn1 Sn 0.000 0.000 0.500 1
I1 I 0.500 0.500 0.500 1
```